(1)
The following is a DFT calculation (GGA-PBE) of a relaxed Sr6ZnHg2 crystal.

The structure belongs to space group Fmmm (No. 69); the cell edges are 5.7204, 14.2646 and 17.0772 Å and the angles 90.00°, 90.00° and 90.00°. The asymmetric unit holds Sr at (0.0000, 0.1335, 0.0000), Sr at (0.0000, 0.1341, 0.3343), Zn at (0.0000, 0.0000, 0.5000) and Hg at (0.0000, 0.0000, 0.1660).



(2)
The following is a DFT calculation (GGA-PBE) of a relaxed Sr2ZnHg5 crystal.

The structure belongs to space group Cmcm (No. 63); the cell edges are 4.7463, 18.1892 and 10.3973 Å and the angles 90.00°, 90.00° and 90.00°. The asymmetric unit holds Sr at (0.0000, 0.0000, 0.0000), Sr at (0.0000, 0.2034, 0.2500), Zn at (0.0000, 0.4448, 0.7500), Hg at (0.0000, 0.1892, 0.6055), Hg at (0.0000, 0.3612, 0.5389) and Hg at (0.0000, 0.4101, 0.2500).



(3)
The following is a DFT calculation (GGA-PBE) of a relaxed Sr2Zn2Hg crystal.

The structure belongs to space group Amm2 (No. 38); the cell edges are 4.1629, 4.6124 and 15.0495 Å and the angles 90.00°, 90.00° and 90.00°. The asymmetric unit holds Sr at (0.0000, 0.0000, 0.0000), Sr at (0.0000, 0.0000, 0.2437), Zn at (0.5000, 0.0000, 0.6282), Zn at (0.5000, 0.0000, 0.8135) and Hg at (0.5000, 0.0000, 0.4224).



(4)
The following is a DFT calculation (GGA-PBE) of a relaxed Sr5Zn2Hg2 crystal.

The structure belongs to space group Cmce (No. 64); the cell edges are 17.8928, 8.3856 and 8.4450 Å and the angles 90.00°, 90.00° and 90.00°. The asymmetric unit holds Sr at (0.0000, 0.0000, 0.0000), Sr at (0.1402, 0.1753, 0.3268), Zn at (0.0000, 0.1076, 0.6090) and Hg at (0.2069, 0.0000, 0.0000).



| no. | total DFT energy (no corrections) (eV per cell) |
| --- | --- |
| 1 | -58.7 |
| 2 | -35.5 |
| 3 | -15.1 |
| 4 | -57.2 |